[1]
Ti3PtC | PBE | optimized geometry

abc: 6.979 6.979 6.979
angles: 45.19 45.19 45.19
Fractional positions:
1 Ti 0.549 0.908 0.226
2 Ti 0.908 0.226 0.549
3 Ti 0.451 0.092 0.774
4 Ti 0.226 0.549 0.908
5 Ti 0.092 0.774 0.451
6 Ti 0.774 0.451 0.092
7 Pt 0.338 0.338 0.338
8 Pt 0.662 0.662 0.662
9 C 0.840 0.840 0.840
10 C 0.160 0.160 0.160

Output
* calculated volume: 15.58 Å³/atom
* spin magnetization: 0.0 μB per cell
* E above lowest polymorph: 288 meV per atom

---

[2]
Tb3HgI7 | PBE | optimized geometry

abc: 7.273 8.579 8.579
angles: 120.00 90.00 90.00
Fractional positions:
1 I 0.029 0.661 0.831
2 I 0.043 0.667 0.333
3 I 0.538 0.835 0.671
4 I 0.538 0.329 0.165
5 I 0.538 0.835 0.165
6 I 0.029 0.169 0.831
7 I 0.029 0.169 0.339
8 Tb 0.782 0.997 0.498
9 Tb 0.782 0.502 0.003
10 Tb 0.782 0.502 0.498
11 Hg 0.526 0.333 0.667

Output
* ΔE_f (raw): -12.0 eV/f.u.
* calculated volume: 42.14 Å³/atom
* spin magnetization: 0.0 μB per cell